Below is a geometry-optimized SmThGe2Rh5 structure, with properties calculated at the PBE level.

Values from the calculation:
As for the formation enthalpy at 0 K: -72.9 kJ per mole of atoms.

```
data_SmThGe2Rh5
_chemical_formula_sum 'Sm1 Th1 Ge2 Rh5'
_cell_length_a 4.259
_cell_length_b 4.259
_cell_length_c 8.923
_cell_angle_alpha 90.00
_cell_angle_beta 90.00
_cell_angle_gamma 90.00
_space_group_name_H-M_alt 'P 4/m m m'
_space_group_IT_number 123
_space_group_name_Hall '-P 4 2'
loop_
_atom_site_label
_atom_site_fract_x
_atom_site_fract_y
_atom_site_fract_z
Sm1 0.000 0.000 0.000
Th1 0.000 0.000 0.500
Ge1 0.500 0.500 0.356
Rh1 0.000 0.500 0.231
Rh2 0.500 0.500 0.000
```


Below is a geometry-optimized AcGa2SiPd4 structure, with properties calculated at the PBE level.

Values from the calculation:
As for the formation energy from raw total energies: -669 meV per atom.

```
data_AcGa2SiPd4
_chemical_formula_sum 'Ac3 Ga6 Si3 Pd12'
_cell_length_a 4.3503
_cell_length_b 4.3503
_cell_length_c 27.2759
_cell_angle_alpha 90.00
_cell_angle_beta 90.00
_cell_angle_gamma 120.00
_space_group_name_H-M_alt 'R -3 m'
_space_group_IT_number 166
_space_group_name_Hall '-R 3 2"'
loop_
_atom_site_label
_atom_site_fract_x
_atom_site_fract_y
_atom_site_fract_z
Ac1 0.0000 0.0000 0.0000
Ga1 0.0000 0.0000 0.2429
Si1 0.0000 0.0000 0.5000
Pd1 0.0000 0.0000 0.1402
Pd2 0.0000 0.0000 0.4113
```


Below is a geometry-optimized LaTl2Au2 structure, with properties calculated at the PBE level.

Values from the calculation:
As for the formation enthalpy at 0 K: -30.8 kJ per mole of atoms.

```
data_LaTl2Au2
_chemical_formula_sum 'La2 Tl4 Au4'
_cell_length_a 7.767
_cell_length_b 7.767
_cell_length_c 4.462
_cell_angle_alpha 90.00
_cell_angle_beta 90.00
_cell_angle_gamma 90.00
_space_group_name_H-M_alt 'P 4/m b m'
_space_group_IT_number 127
_space_group_name_Hall '-P 4 2ab'
loop_
_atom_site_label
_atom_site_fract_x
_atom_site_fract_y
_atom_site_fract_z
La1 0.000 0.000 0.000
Tl1 0.177 0.323 0.500
Au1 0.127 0.627 0.000
```


Below is a geometry-optimized Pr4AuSe2S structure, with properties calculated at the PBE level.

Values from the calculation:
As for the formation energy from raw total energies: -1605 meV per atom.

```
data_Pr4AuSe2S
_chemical_formula_sum 'Pr4 Au1 Se2 S1'
_cell_length_a 7.415
_cell_length_b 4.197
_cell_length_c 7.425
_cell_angle_alpha 90.00
_cell_angle_beta 109.19
_cell_angle_gamma 90.00
_space_group_name_H-M_alt 'P 1 2/m 1'
_space_group_IT_number 10
_space_group_name_Hall '-P 2y'
loop_
_atom_site_label
_atom_site_fract_x
_atom_site_fract_y
_atom_site_fract_z
Pr1 0.238 0.000 0.243
Pr2 0.246 0.500 0.753
Au1 0.500 0.000 0.000
Se1 0.000 0.000 0.500
Se2 0.500 0.500 0.500
S1 0.000 0.500 0.000
```


Below is a geometry-optimized YCdSbTe2 structure, with properties calculated at the PBE level.

Values from the calculation:
As for the formation energy from raw total energies: 10 meV per atom.

```
data_YCdSbTe2
_chemical_formula_sum 'Y1 Cd1 Sb1 Te2'
_cell_length_a 5.821
_cell_length_b 5.821
_cell_length_c 5.924
_cell_angle_alpha 90.00
_cell_angle_beta 90.00
_cell_angle_gamma 90.00
_space_group_name_H-M_alt 'P 4/m m m'
_space_group_IT_number 123
_space_group_name_Hall '-P 4 2'
loop_
_atom_site_label
_atom_site_fract_x
_atom_site_fract_y
_atom_site_fract_z
Y1 0.000 0.000 0.000
Cd1 0.500 0.500 0.500
Sb1 0.000 0.000 0.500
Te1 0.000 0.500 0.000
```


Below is a geometry-optimized Mn2SnSeBr structure, with properties calculated at the PBE level.

Values from the calculation:
As for the formation energy from raw total energies: 442 meV per atom.

```
data_Mn2SnSeBr
_chemical_formula_sum 'Mn2 Sn1 Se1 Br1'
_cell_length_a 4.679
_cell_length_b 4.679
_cell_length_c 7.185
_cell_angle_alpha 90.00
_cell_angle_beta 90.00
_cell_angle_gamma 90.00
_space_group_name_H-M_alt 'P 4/m m m'
_space_group_IT_number 123
_space_group_name_Hall '-P 4 2'
loop_
_atom_site_label
_atom_site_fract_x
_atom_site_fract_y
_atom_site_fract_z
Mn1 0.000 0.500 0.000
Sn1 0.000 0.000 0.500
Se1 0.500 0.500 0.000
Br1 0.500 0.500 0.500
```


Below is a geometry-optimized Ni2SbOs structure, with properties calculated at the PBE level.

Values from the calculation:
As for the formation energy from raw total energies: 539 meV per atom.

```
data_Ni2SbOs
_chemical_formula_sum 'Ni6 Sb3 Os3'
_cell_length_a 2.9646
_cell_length_b 2.9646
_cell_length_c 23.6106
_cell_angle_alpha 90.00
_cell_angle_beta 90.00
_cell_angle_gamma 120.00
_space_group_name_H-M_alt 'R 3 m'
_space_group_IT_number 160
_space_group_name_Hall 'R 3 -2"'
loop_
_atom_site_label
_atom_site_fract_x
_atom_site_fract_y
_atom_site_fract_z
Ni1 0.0000 0.0000 0.0000
Ni2 0.0000 0.0000 0.2549
Sb1 0.0000 0.0000 0.5056
Os1 0.0000 0.0000 0.7461
```


Below is a geometry-optimized RbAl2AgRh structure, with properties calculated at the PBE level.

Values from the calculation:
As for the formation enthalpy at 0 K: 178.9 kJ per mole of atoms.

```
data_RbAl2AgRh
_chemical_formula_sum 'Rb1 Al2 Ag1 Rh1'
_cell_length_a 5.799
_cell_length_b 5.799
_cell_length_c 4.820
_cell_angle_alpha 90.00
_cell_angle_beta 90.00
_cell_angle_gamma 90.00
_space_group_name_H-M_alt 'P 4/m m m'
_space_group_IT_number 123
_space_group_name_Hall '-P 4 2'
loop_
_atom_site_label
_atom_site_fract_x
_atom_site_fract_y
_atom_site_fract_z
Rb1 0.000 0.000 0.000
Al1 0.000 0.500 0.000
Ag1 0.500 0.500 0.500
Rh1 0.000 0.000 0.500
```